(1)
Density functional theory data (GGA-PBE) for an optimized crystal structure of KBa2SnPt.

The structure in POSCAR format:
```
KBa2SnPt
1.0
6.333 0.000 0.000
0.000 6.333 0.000
0.000 0.000 5.260
K Ba Sn Pt
1 2 1 1
direct
0.000 0.000 0.000
0.000 0.500 0.500
0.500 0.000 0.500
0.500 0.500 0.000
0.500 0.500 0.500
```

Values from the calculation:
Symmetry ... P4/mmm (123)
Total moment ... 0.156 μB per atom
VASP energy ... -3.41 eV/atom

---

(2)
Density functional theory data (GGA-PBE) for an optimized crystal structure of KBa2Sn3Pt4.

The structure in POSCAR format:
```
KBa2Sn3Pt4
1.0
4.825 0.000 0.000
0.000 4.825 0.000
0.000 0.000 11.187
K Ba Sn Pt
1 2 3 4
direct
0.000 0.000 0.000
0.000 0.500 0.740
0.500 0.000 0.260
0.000 0.500 0.389
0.500 0.000 0.611
0.500 0.500 0.000
0.000 0.000 0.500
0.000 0.500 0.150
0.500 0.000 0.850
0.500 0.500 0.500
```

Values from the calculation:
Symmetry ... P-4m2 (115)
Total moment ... 0.000 μB per atom
VASP energy ... -4.72 eV/atom

---

(3)
Density functional theory data (GGA-PBE) for an optimized crystal structure of KBaTl2Pt.

The structure in POSCAR format:
```
KBaTl2Pt
1.0
5.739 0.000 0.000
0.000 5.739 0.000
0.000 0.000 6.657
K Ba Tl Pt
1 1 2 1
direct
0.000 0.000 0.000
0.000 0.000 0.500
0.000 0.500 0.000
0.500 0.000 0.000
0.500 0.500 0.500
```

Values from the calculation:
Symmetry ... P4/mmm (123)
Total moment ... 0.000 μB per atom
Excess energy over the best structure of this formula in the dataset ... 1134 meV per atom
VASP energy ... -1.82 eV/atom

---

Q: Which formula does entry 1 have?
A: KBa2SnPt